Entry 1:
This record from Alexandria via LeMat-Bulk describes a relaxed structure of CuMo2Au. The functional is GGA-PBE.

Structure (POSCAR):
```
CuMo2Au
1.0
2.6944 0.0000 0.0000
0.0000 4.2845 0.0000
-0.3108 0.0000 5.3425
Cu Mo Au
1 2 1
direct
0.0000 0.0000 0.0000
0.4739 0.5000 0.2269
0.5261 0.5000 0.7731
0.0000 0.0000 0.5000
```

Output
- VASP energy (eV per formula unit) = -28.10
- energy relative to the elements (eV per atom) = 0.233

---

Entry 2:
This record from Alexandria via LeMat-Bulk describes a relaxed structure of CuMo2Au. The functional is GGA-PBE.

Structure (POSCAR):
```
CuMo2Au
1.0
2.7301 0.0000 0.0000
0.0000 2.7301 0.0000
0.0000 0.0000 8.1931
Cu Mo Au
1 2 1
direct
0.0000 0.0000 0.0000
0.5000 0.5000 0.2291
0.5000 0.5000 0.7709
0.0000 0.0000 0.5000
```

Output
- VASP energy (eV per formula unit) = -27.99
- energy relative to the elements (eV per atom) = 0.262

---

Entry 3:
This record from Alexandria via LeMat-Bulk describes a relaxed structure of CuMo2Au. The functional is GGA-PBE.

Structure (POSCAR):
```
CuMo2Au
1.0
2.6624 0.0000 0.0000
0.0000 4.0750 0.0000
0.0000 0.0000 5.7337
Cu Mo Au
1 2 1
direct
0.0000 0.0000 0.0000
0.0000 0.0000 0.4842
0.5000 0.5000 0.2425
0.5000 0.5000 0.7603
```

Output
- VASP energy (eV per formula unit) = -28.08
- energy relative to the elements (eV per atom) = 0.239

---

Entry 4:
This record from Alexandria via LeMat-Bulk describes a relaxed structure of Cu3MoAu. The functional is GGA-PBE.

Structure (POSCAR):
```
Cu3MoAu
1.0
4.7030 0.0000 0.0000
0.0000 4.7030 0.0000
0.0000 0.0000 4.7030
Cu Mo Au
3 1 1
direct
0.0000 0.0000 0.5000
0.0000 0.5000 0.0000
0.5000 0.0000 0.0000
0.5000 0.5000 0.5000
0.0000 0.0000 0.0000
```

Output
- VASP energy (eV per formula unit) = -19.75
- offset from the most stable computed form (meV per atom) = 0.0
- energy relative to the elements (eV per atom) = 1.329